(1)
DFT (PBE) results for crystalline BaNaIn at its relaxed geometry.

Unit cell a=6.6754 b=6.6754 c=8.7798 alpha=127.55 beta=127.55 gamma=51.74
With the nearest neighbours (Å) after each atom.
Atoms (fractional coordinates):
Ba: 0.2434 0.2434 0.2940  6 In 3.64-4.05, 4 Na 3.68-3.80
Ba: 0.7566 0.7566 0.7060  6 In 3.64-4.05, 4 Na 3.68-3.80
Na: 0.0999 0.0999 0.7637  3 In 3.32-3.34, 1 Na 3.48, 3 Ba 3.68-3.71
Na: 0.9001 0.9001 0.2363  3 In 3.32-3.34, 1 Na 3.48, 3 Ba 3.68-3.71
In: 0.4767 0.4767 0.1426  1 In 2.91
In: 0.5233 0.5233 0.8574  1 In 2.91

Properties
- Total magnetic moment: 0.000 μB/atom
- Symmetry: No. 12

(2)
DFT (PBE) results for crystalline BaNaIn at its relaxed geometry.

Unit cell a=10.9514 b=10.9514 c=5.1404 alpha=90.00 beta=90.00 gamma=157.22
With the nearest neighbours (Å) after each atom.
Atoms (fractional coordinates):
Ba: 0.1003 0.8997 0.7500  6 In 3.60-3.72
Ba: 0.8997 0.1003 0.2500  6 In 3.60-3.72
Na: 0.2931 0.7069 0.7500  1 In 3.57, 4 Na 3.83
Na: 0.7069 0.2931 0.2500  1 In 3.57, 4 Na 3.83
In: 0.4595 0.5405 0.7500  2 In 3.10
In: 0.5405 0.4595 0.2500  2 In 3.10

Properties
- Total magnetic moment: 0.000 μB/atom
- Symmetry: No. 63

(3)
DFT (PBE) results for crystalline BaNaIn at its relaxed geometry.

Unit cell a=6.6393 b=6.6393 c=6.6393 alpha=141.71 beta=141.71 gamma=55.27
With the nearest neighbours (Å) after each atom.
Atoms (fractional coordinates):
Ba: 0.0000 0.0000 0.0000  5 Na 3.52-3.88, 5 In 3.69-3.85
Na: 0.7012 0.7012 0.0000  4 In 3.42, 1 Ba 3.52
In: 0.3272 0.3272 0.0000  4 Na 3.42, 4 Ba 3.69

Properties
- Total magnetic moment: 0.000 μB/atom
- Symmetry: No. 107

Going by the computed energies, the most stable comes first: (2), (1), (3).

(1)
DFT (PBE) results for crystalline BaNaIn3 at its relaxed geometry.

Unit cell a=5.5813 b=5.5813 c=5.5813 alpha=90.00 beta=90.00 gamma=90.00
With the nearest neighbours (Å) after each atom.
Atoms (fractional coordinates):
Ba: 0.0000 0.0000 0.0000  12 In 3.95
Na: 0.5000 0.5000 0.5000  6 In 2.79
In: 0.0000 0.5000 0.5000  2 Na 2.79
In: 0.5000 0.0000 0.5000  2 Na 2.79
In: 0.5000 0.5000 0.0000  2 Na 2.79

Properties
- Total magnetic moment: 0.000 μB/atom
- Symmetry: No. 221

(2)
DFT (PBE) results for crystalline BaNaIn3 at its relaxed geometry.

Unit cell a=7.4286 b=7.4286 c=6.6559 alpha=90.00 beta=90.00 gamma=117.20
With the nearest neighbours (Å) after each atom.
Atoms (fractional coordinates):
Ba: 0.2335 0.7665 0.7500  4 In 3.57-3.96, 2 Na 3.78
Ba: 0.7665 0.2335 0.2500  4 In 3.57-3.96, 2 Na 3.78
Na: 0.0928 0.9072 0.2500  5 In 3.06-3.11
Na: 0.9072 0.0928 0.7500  5 In 3.06-3.11
In: 0.3042 0.3042 0.0000  5 In 3.03-3.33, 2 Na 3.11
In: 0.3042 0.3042 0.5000  5 In 3.03-3.33, 2 Na 3.11
In: 0.3344 0.6656 0.2500  1 Na 3.06, 4 In 3.08
In: 0.6656 0.3344 0.7500  1 Na 3.06, 4 In 3.08
In: 0.6958 0.6958 0.0000  5 In 3.03-3.33, 2 Na 3.11
In: 0.6958 0.6958 0.5000  5 In 3.03-3.33, 2 Na 3.11

Properties
- Total magnetic moment: 0.000 μB/atom
- Symmetry: No. 63

Going by the computed energies, the most stable comes first: (2), (1).

(1)
DFT (PBE) results for crystalline BaNa2In6 at its relaxed geometry.

Unit cell a=9.3216 b=9.3216 c=3.4378 alpha=90.00 beta=90.00 gamma=120.00
With the nearest neighbours (Å) after each atom.
Atoms (fractional coordinates):
Ba: 0.0000 0.0000 0.0000  2 Ba 3.44, 12 In 3.62
Na: 0.3333 0.6667 0.0000  2 Na 3.44, 12 In 3.52
Na: 0.6667 0.3333 0.0000  2 Na 3.44, 12 In 3.52
In: 0.0000 0.3416 0.5000  3 In 2.95-3.18
In: 0.0000 0.6584 0.5000  3 In 2.95-3.18
In: 0.3416 0.0000 0.5000  3 In 2.95-3.18
In: 0.3416 0.3416 0.5000  3 In 2.95-3.18
In: 0.6584 0.0000 0.5000  3 In 2.95-3.18
In: 0.6584 0.6584 0.5000  3 In 2.95-3.18

Properties
- Total magnetic moment: 0.000 μB/atom
- Symmetry: No. 191

(2)
DFT (PBE) results for crystalline BaNa2In6 at its relaxed geometry.

Unit cell a=8.5144 b=8.5144 c=8.5144 alpha=147.50 beta=121.58 gamma=68.46
With the nearest neighbours (Å) after each atom.
Atoms (fractional coordinates):
Ba: 0.0000 0.0000 0.0000  12 In 3.62-3.93
Na: 0.3805 0.8805 0.5000  6 In 3.08-3.25, 1 Na 3.37
Na: 0.6195 0.1195 0.5000  6 In 3.08-3.25, 1 Na 3.37
In: 0.0029 0.6922 0.3106  4 In 2.94-3.15, 1 Na 3.08
In: 0.3278 0.5000 0.8278  3 In 2.86-2.94
In: 0.3816 0.6922 0.6894  4 In 2.94-3.15, 1 Na 3.08
In: 0.6184 0.3078 0.3106  4 In 2.94-3.15, 1 Na 3.08
In: 0.6722 0.5000 0.1722  3 In 2.86-2.94
In: 0.9971 0.3078 0.6894  4 In 2.94-3.15, 1 Na 3.08

Properties
- Total magnetic moment: 0.000 μB/atom
- Symmetry: No. 71

Going by the computed energies, the most stable comes first: (1), (2).

(1)
DFT (PBE) results for crystalline BaNaIn2Ni at its relaxed geometry.

Unit cell a=5.1593 b=5.1593 c=5.6692 alpha=90.00 beta=90.00 gamma=90.00
With the nearest neighbours (Å) after each atom.
Atoms (fractional coordinates):
Ba: 0.0000 0.0000 0.0000  2 Ni 2.83
Na: 0.5000 0.5000 0.0000  4 Ba 3.65, 8 In 3.83
In: 0.0000 0.5000 0.5000  2 Ni 2.58
In: 0.5000 0.0000 0.5000  2 Ni 2.58
Ni: 0.0000 0.0000 0.5000  4 In 2.58, 2 Ba 2.83

Properties
- Total magnetic moment: 0.000 μB/atom
- Symmetry: No. 123

(2)
DFT (PBE) results for crystalline BaNaIn2Ni at its relaxed geometry.

Unit cell a=5.0696 b=5.0696 c=5.4504 alpha=90.00 beta=90.00 gamma=90.00
With the nearest neighbours (Å) after each atom.
Atoms (fractional coordinates):
Ba: 0.0000 0.0000 0.0000  4 Na 3.58, 8 In 3.72
Na: 0.5000 0.5000 0.0000  2 Ni 2.73
In: 0.0000 0.5000 0.5000  2 Ni 2.53
In: 0.5000 0.0000 0.5000  2 Ni 2.53
Ni: 0.5000 0.5000 0.5000  4 In 2.53, 2 Na 2.73

Properties
- Total magnetic moment: 0.000 μB/atom
- Symmetry: No. 123

Going by the computed energies, the most stable comes first: (2), (1).

(1)
DFT (PBE) results for crystalline Ba2NaInPt at its relaxed geometry.

Unit cell a=6.2437 b=6.2437 c=5.2856 alpha=90.00 beta=90.00 gamma=90.00
With the nearest neighbours (Å) after each atom.
Atoms (fractional coordinates):
Ba: 0.0000 0.5000 0.0000  2 Pt 3.12
Ba: 0.5000 0.0000 0.0000  2 Pt 3.12
Na: 0.0000 0.0000 0.5000  8 Ba 4.09, 4 In 4.41
In: 0.5000 0.5000 0.5000  2 Pt 2.64
Pt: 0.5000 0.5000 0.0000  2 In 2.64

Properties
- Total magnetic moment: 0.000 μB/atom
- Symmetry: No. 123

(2)
DFT (PBE) results for crystalline Ba2NaInPt at its relaxed geometry.

Unit cell a=6.1152 b=6.1152 c=5.4856 alpha=90.00 beta=90.00 gamma=90.00
With the nearest neighbours (Å) after each atom.
Atoms (fractional coordinates):
Ba: 0.0000 0.5000 0.0000  2 Pt 3.06
Ba: 0.5000 0.0000 0.0000  2 Pt 3.06
Na: 0.0000 0.0000 0.5000  2 Pt 2.74
In: 0.5000 0.5000 0.5000  8 Ba 4.11, 4 Na 4.32
Pt: 0.0000 0.0000 0.0000  2 Na 2.74, 4 Ba 3.06

Properties
- Total magnetic moment: 0.001 μB/atom
- Symmetry: No. 123

Going by the computed energies, the most stable comes first: (1), (2).